(P)
DFT (GGA-PBEsol) results for a relaxed ZnCr3P crystal.

Cell: 4.4813 4.4813 4.4813 Å, 90.00 90.00 90.00°
Last column: magnetic moment on the atom in μB.
Fractional positions:
Cr: 0.0000 0.0000 0.5000  3.11
P: 0.5000 0.5000 0.5000  -0.23
Zn: 0.0000 0.0000 0.0000  0.01
Cr: 0.0000 0.5000 0.0000  3.11
Cr: 0.5000 0.0000 0.0000  3.11

Computed properties:
SG: Pm-3m, No. 221
V, A^3/atom: 18.00
Density of states at the Fermi level, states/eV/f.u.: 6.882



(Q)
DFT (GGA-PBEsol) results for a relaxed ZnCr3P crystal.

Cell: 4.2487 4.2487 4.2487 Å, 90.00 90.00 90.00°
Last column: magnetic moment on the atom in μB.
Fractional positions:
Cr: 0.0000 0.5000 0.0000  2.22
P: 0.0000 0.0000 0.0000  -0.11
Zn: 0.5000 0.5000 0.5000  -0.06
Cr: 0.5000 0.0000 0.0000  2.22
Cr: 0.0000 0.0000 0.5000  2.22

Computed properties:
SG: Pm-3m, No. 221
V, A^3/atom: 15.34
Density of states at the Fermi level, states/eV/f.u.: 3.928



Which structure wins on stability? (Q) wins.



(P)
DFT (GGA-PBEsol) results for a relaxed Cr2SiPb crystal.

Cell: 3.0078 3.0078 8.2800 Å, 79.54 79.54 60.00°
Fractional positions:
Cr: 0.7343 0.7343 0.7972
Cr: 0.0038 0.0038 0.9885
Si: 0.2664 0.2664 0.2007
Pb: 0.4955 0.4955 0.5136

Computed properties:
SG: R3m, No. 160
V, A^3/atom: 15.86
Density of states at the Fermi level, states/eV/f.u.: 2.089



(Q)
DFT (GGA-PBEsol) results for a relaxed Cr2SiPb crystal.

Cell: 4.0198 4.0133 5.3167 Å, 112.29 90.00 120.05°
Last column: magnetic moment on the atom in μB.
Fractional positions:
Pb: 0.5000 0.0000 0.0000  -0.05
Si: 0.0000 0.0000 0.5000  -0.09
Cr: 0.7252 0.4504 0.6753  2.57
Cr: 0.2748 0.5496 0.3247  2.57

Computed properties:
SG: C2/m, No. 12
V, A^3/atom: 16.68
Density of states at the Fermi level, states/eV/f.u.: 2.229



Which structure wins on stability? (Q) wins.



(P)
DFT (GGA-PBEsol) results for a relaxed TaCrPb crystal.

Cell: 3.0882 3.0882 6.8817 Å, 90.00 90.00 120.00°
Last column: magnetic moment on the atom in μB.
Fractional positions:
Cr: 0.0000 0.0000 0.0193  2.55
Ta: 0.6667 0.3333 0.3069  0.03
Pb: 0.3333 0.6667 0.6738  0.00

Computed properties:
SG: P3m1, No. 156
V, A^3/atom: 18.95
Density of states at the Fermi level, states/eV/f.u.: 3.038



(Q)
DFT (GGA-PBEsol) results for a relaxed TaCrPb crystal.

Cell: 3.3027 3.3027 5.3163 Å, 108.10 108.10 90.00°
Last column: magnetic moment on the atom in μB.
Fractional positions:
Ta: 0.6436 0.6436 0.2873  -0.01
Cr: 0.0173 0.0173 0.0347  0.16
Pb: 0.3390 0.3390 0.6780  0.00

Computed properties:
SG: I4mm, No. 107
V, A^3/atom: 17.36
Density of states at the Fermi level, states/eV/f.u.: 3.130



Which structure wins on stability? (Q) wins.



(P)
DFT (GGA-PBEsol) results for a relaxed ZrCrPb2 crystal.

Cell: 3.3622 5.4277 5.7371 Å, 118.23 107.04 90.00°
Last column: magnetic moment on the atom in μB.
Fractional positions:
Pb: 0.7685 0.7685 0.5370  -0.04
Cr: 0.5000 0.0000 0.0000  2.98
Pb: 0.2315 0.2315 0.4630  -0.04
Zr: 0.0000 0.5000 0.0000  -0.32

Computed properties:
SG: Immm, No. 71
V, A^3/atom: 21.75
Density of states at the Fermi level, states/eV/f.u.: 3.180



(Q)
DFT (GGA-PBEsol) results for a relaxed ZrCrPb2 crystal.

Cell: 4.9551 4.9551 4.9551 Å, 60.00 60.00 60.00°
Last column: magnetic moment on the atom in μB.
Fractional positions:
Cr: 0.0000 0.0000 0.0000  3.24
Zr: 0.5000 0.5000 0.5000  -0.73
Pb: 0.7500 0.7500 0.7500  -0.07
Pb: 0.2500 0.2500 0.2500  -0.07

Computed properties:
SG: Fm-3m, No. 225
V, A^3/atom: 21.51
Density of states at the Fermi level, states/eV/f.u.: 4.385



(R)
DFT (GGA-PBEsol) results for a relaxed ZrCrPb2 crystal.

Cell: 4.1334 4.2923 4.8631 Å, 90.00 90.00 90.00°
Last column: magnetic moment on the atom in μB.
Fractional positions:
Cr: 0.5000 0.0000 0.5000  3.35
Pb: 0.0000 0.5000 0.5000  -0.06
Pb: 0.0000 0.0000 0.0000  -0.02
Zr: 0.5000 0.5000 0.0000  -0.20

Computed properties:
SG: Pmmm, No. 47
V, A^3/atom: 21.57
Density of states at the Fermi level, states/eV/f.u.: 3.371



Which structure wins on stability? (R) wins.



(P)
DFT (GGA-PBEsol) results for a relaxed Zr3CrPb crystal.

Cell: 5.2960 5.2960 5.2960 Å, 90.00 90.00 90.00°
Last column: magnetic moment on the atom in μB.
Fractional positions:
Pb: 0.0000 0.0000 0.0000  0.00
Zr: 0.0000 0.5000 0.0000  -0.13
Cr: 0.5000 0.5000 0.5000  3.91
Zr: 0.0000 0.0000 0.5000  -0.13
Zr: 0.5000 0.0000 0.0000  -0.13

Computed properties:
SG: Pm-3m, No. 221
V, A^3/atom: 29.71
Density of states at the Fermi level, states/eV/f.u.: 8.245



(Q)
DFT (GGA-PBEsol) results for a relaxed Zr3CrPb crystal.

Cell: 4.7921 4.7921 4.7921 Å, 90.00 90.00 90.00°
Fractional positions:
Cr: 0.0000 0.0000 0.0000
Pb: 0.5000 0.5000 0.5000
Zr: 0.5000 0.0000 0.0000
Zr: 0.0000 0.0000 0.5000
Zr: 0.0000 0.5000 0.0000

Computed properties:
SG: Pm-3m, No. 221
V, A^3/atom: 22.01
Density of states at the Fermi level, states/eV/f.u.: 7.760



Which structure wins on stability? (Q) wins.



(P)
DFT (GGA-PBEsol) results for a relaxed CrPt4 crystal.

Cell: 3.8364 4.7250 4.7250 Å, 80.51 66.05 66.05°
Last column: magnetic moment on the atom in μB.
Fractional positions:
Pt: 0.3975 0.8070 0.3979  -0.10
Pt: 0.6025 0.1930 0.6021  -0.10
Cr: 0.0000 0.0000 0.0000  1.39
Pt: 0.7954 0.6021 0.8070  -0.10
Pt: 0.2046 0.3979 0.1930  -0.10

Computed properties:
SG: I4/m, No. 87
V, A^3/atom: 14.31
Density of states at the Fermi level, states/eV/f.u.: 6.343



(Q)
DFT (GGA-PBEsol) results for a relaxed CrPt4 crystal.

Cell: 3.5981 3.5981 6.9390 Å, 105.03 105.03 90.00°
Last column: magnetic moment on the atom in μB.
Fractional positions:
Pt: 0.7500 0.2500 0.5000  -0.18
Pt: 0.2500 0.7500 0.5000  -0.18
Cr: 0.0000 0.0000 0.0000  3.18
Pt: 0.4041 0.4041 0.8083  -0.27
Pt: 0.5959 0.5959 0.1917  -0.27

Computed properties:
SG: I4/mmm, No. 139
V, A^3/atom: 16.72
Density of states at the Fermi level, states/eV/f.u.: 5.883



Which structure wins on stability? (P) wins.